The following is a DFT calculation (PBE-GGA) of a geometry-optimized Ca2CrBiN structure.

Unit cell a=6.108 b=4.401 c=6.108 alpha=90.00 beta=90.00 gamma=90.00
Positions (direct):
1 Cr 0.500 0.500 0.500
2 Ca 0.000 0.000 0.500
3 Ca 0.500 0.000 0.000
4 Bi 0.000 0.000 0.000
5 N 0.000 0.500 0.000

## Properties
Its symmetry is P4/mmm (123). For the energy, the calculation gives -3.6084 eV/atom.